No. 1
Below is Mg6NbCo after structural relaxation, with properties calculated at the PBE-GGA level.

spin magnetization	0.01	μB per formula unit
ΔE_f	16.7	kJ per mole of atoms
V	308.7	Å³/cell

Cell: 4.7002 5.9471 11.0445 Å, 90.00 90.00 90.00°
Space group Amm2 (No. 38)
Inequivalent atoms, fractional coordinates:
Mg 0.0000 0.0000 0.0000
Mg 0.0000 0.2386 0.2556
Mg 0.5000 0.0000 0.8435
Mg 0.5000 0.2431 0.5989
Nb 0.5000 0.0000 0.3691
Co 0.0000 0.0000 0.4747

No. 2
Below is PrHo2As after structural relaxation, with properties calculated at the PBE-GGA level.

spin magnetization	0.00	μB per formula unit
ΔE_f	-60.4	kJ per mole of atoms
V	366.9	Å³/cell

Cell: 3.8590 3.8590 28.4503 Å, 90.00 90.00 120.00°
Space group R-3m (No. 166, hexagonal axes)
Inequivalent atoms, fractional coordinates:
Pr 0.0000 0.0000 0.0000
Ho 0.0000 0.0000 0.2272
As 0.0000 0.0000 0.5000

No. 3
Below is PmMgPb after structural relaxation, with properties calculated at the PBE-GGA level.

spin magnetization	0.00	μB per formula unit
ΔE_f	-20.0	kJ per mole of atoms
V	374.2	Å³/cell

Cell: 7.2060 7.2060 7.2060 Å, 90.00 90.00 90.00°
Space group F-43m (No. 216)
Inequivalent atoms, fractional coordinates:
Pm 0.0000 0.0000 0.0000
Mg 0.0000 0.0000 0.5000
Pb 0.2500 0.2500 0.7500